Li4CuSi2O7: optimized geometry, GGA-PBEsol.

a b c (Å): 13.027 5.389 7.982
angles (deg): 90.00 94.34 90.00
Space group Cc (No. 9)
Inequivalent atoms, fractional coordinates:
Li 0.000 0.147 0.000
Li 0.070 0.331 0.353
Li 0.204 0.339 0.068
Li 0.278 0.181 0.423
Cu 0.426 0.161 0.153
Si 0.140 0.170 0.706
Si 0.355 0.326 0.777
O 0.051 0.313 0.806
O 0.114 0.120 0.174
O 0.170 0.319 0.541
O 0.249 0.186 0.844
O 0.326 0.382 0.238
O 0.390 0.184 0.609
O 0.444 0.307 0.931

Output
The calculation puts the formation energy from raw total energies at -2.221 eV/atom.